1.
A geometry-optimized SbTe2P structure. Source: Alexandria, functional PBE.

Geometry as POSCAR:
```
SbTe2P
1.0
-1.976 2.292 6.558
1.976 -2.292 6.558
1.976 2.292 -6.558
Sb Te P
1 2 1
direct
0.000 0.000 0.000
0.340 0.840 0.500
0.660 0.160 0.500
0.500 0.500 0.000
```

Computed properties:
Its magnetic moment is 0.000 Bohr magnetons per cell. For the formation energy (no corrections), the calculation gives 0.29 eV per atom. For the uncorrected energy, the calculation gives -3.665 eV per atom. The value obtained for the excess energy over the best structure of this formula in the dataset is 130 meV per atom.



2.
A geometry-optimized BPIrRhAu structure. Source: Alexandria, functional PBE.

Geometry as POSCAR:
```
BPIrRhAu
1.0
3.879 0.000 0.000
-0.001 3.992 0.000
-1.841 -1.001 5.563
B P Ir Rh Au
1 1 1 1 1
direct
0.000 0.000 0.000
0.323 0.392 0.626
0.931 0.456 0.855
0.428 0.950 0.848
0.180 0.846 0.337
```

Computed properties:
Its magnetic moment is 0.000 Bohr magnetons per cell. For the uncorrected energy, the calculation gives -6.512 eV per atom. For the calculated formation energy, the calculation gives -0.98 eV per formula unit. The value obtained for the excess energy over the best structure of this formula in the dataset is 14 meV per atom.



3.
A geometry-optimized ThNi3As3 structure. Source: Alexandria, functional PBE.

Geometry as POSCAR:
```
ThNi3As3
1.0
8.126 0.000 0.000
-4.063 7.038 0.000
0.000 0.000 4.175
Th Ni As
2 6 6
direct
0.333 0.667 0.250
0.667 0.333 0.750
0.042 0.212 0.250
0.170 0.958 0.250
0.212 0.170 0.750
0.788 0.830 0.250
0.830 0.042 0.750
0.958 0.788 0.750
0.069 0.374 0.750
0.305 0.931 0.750
0.374 0.305 0.250
0.626 0.695 0.750
0.695 0.069 0.250
0.931 0.626 0.250
```

Computed properties:
Its magnetic moment is 0.000 Bohr magnetons per cell. For the uncorrected energy, the calculation gives -6.090 eV per atom. For the calculated formation energy, the calculation gives -3.92 eV per formula unit. The value obtained for the excess energy over the best structure of this formula in the dataset is 0 meV per atom.